# CoRePb2O6 PBE with a Hubbard U optimized geometry
# Offset from the most stable computed form   0 meV per atom
# DFT total energy   -0.246 hartree per atom
# ρ   9.301 g cm⁻³
data_CoRePb2O6
_cell_length_a 5.7823
_cell_length_b 5.7823
_cell_length_c 27.9509
_cell_angle_alpha 90.00
_cell_angle_beta 90.00
_cell_angle_gamma 120.00
_symmetry_space_group_name_H-M 'R -3 m'
_symmetry_Int_Tables_number 166
_symmetry_space_group_name_Hall '-R 3 2"'
loop_
_atom_site_label
_atom_site_type_symbol
_atom_site_fract_x
_atom_site_fract_y
_atom_site_fract_z
Co1 Co 0.0000 0.0000 0.0969
Re1 Re 0.0000 0.0000 0.0000
Re2 Re 0.0000 0.0000 0.5000
Pb1 Pb 0.0000 0.0000 0.2286
Pb2 Pb 0.0000 0.0000 0.3661
O1 O 0.0079 0.5040 0.6269
O2 O 0.0247 0.5124 0.2063